Density functional theory data (PBE-GGA) for a relaxed Pr2SmGa3Pt4 crystal.

abc: 4.330 4.330 11.367
angles: 90.00 90.00 90.00
Fractional positions:
Ga  0.500  0.000  0.881
Pr  0.500  0.000  0.224
Pr  0.000  0.500  0.776
Sm  0.500  0.500  0.500
Pt  0.000  0.000  0.000
Pt  0.500  0.000  0.661
Pt  0.000  0.500  0.339
Ga  0.000  0.000  0.500
Pt  0.500  0.500  0.000
Ga  0.000  0.500  0.119

Output
**Space-group type**: P-4m2, No. 115
**Calculated total energy**: -57.0 eV/cell
**Magnetization**: 0.0 μB per formula unit
**Formation energy**: -947 meV per atom
**N(E_F)**: 0.7253 states/eV per atom


Density functional theory data (PBE-GGA) for a relaxed PuSn2F8 crystal.

abc: 5.389 7.379 7.379
angles: 64.59 59.21 59.21
Last column: magnetic moment on the atom in μB.
Fractional positions:
F  0.002  0.079  0.679  -0.03
F  0.998  0.321  0.921  -0.03
F  0.302  0.412  0.412  0.00
F  0.504  0.862  0.862  -0.03
F  0.998  0.921  0.321  -0.03
F  0.496  0.138  0.138  -0.03
Pu  0.000  0.000  0.000  4.18
F  0.698  0.588  0.588  0.00
Sn  0.001  0.646  0.646  -0.02
Sn  0.999  0.354  0.354  -0.02
F  0.002  0.679  0.079  -0.03

Output
**Offset from the most stable computed form**: 0 meV per atom
**Space-group type**: C2/m, No. 12
**Calculated total energy**: -68.4 eV/cell
**Formation energy from raw total energies**: -273 kJ/mol of atoms
**Magnetization**: 4.0 μB per formula unit
**N(E_F)**: 0.1694 states/eV per atom


Density functional theory data (PBE-GGA) for a relaxed Cs2SnB2Se6 crystal.

abc: 6.947 6.836 9.447
angles: 107.18 90.00 120.54
Fractional positions:
Se  0.214  0.953  0.261
Se  0.766  0.533  0.520
Se  0.739  0.953  0.261
Se  0.234  0.467  0.480
Sn  0.500  0.000  0.500
Cs  0.313  0.626  0.876
Cs  0.687  0.374  0.124
Se  0.786  0.047  0.739
B  0.067  0.135  0.338
Se  0.261  0.047  0.739
B  0.933  0.865  0.662

Output
**Space-group type**: C2/m, No. 12
**Calculated total energy**: -44.9 eV/cell
**Formation energy from raw total energies**: -44 kJ/mol of atoms
**Magnetization**: 0.0 μB per formula unit
**N(E_F)**: 0.2850 states/eV per atom


Density functional theory data (PBE-GGA) for a relaxed SrCuSe2 crystal.

abc: 4.335 4.364 6.054
angles: 73.54 90.00 90.00
Fractional positions:
Cu  0.500  0.012  0.801
Sr  0.000  0.462  0.345
Se  0.500  0.935  0.433
Se  0.000  0.091  0.920

Output
**Space-group type**: Pm, No. 6
**Calculated total energy**: -16.5 eV/cell
**Formation energy from raw total energies**: -90 kJ/mol of atoms
**Magnetization**: 0.0 μB per formula unit
**N(E_F)**: 0.7349 states/eV per atom


Density functional theory data (PBE-GGA) for a relaxed Pm2Nd6Tm5 crystal.

abc: 3.636 11.791 20.460
angles: 90.00 90.00 90.00
Fractional positions:
Nd  0.000  0.442  0.578
Nd  0.000  0.919  0.635
Tm  0.500  0.904  0.777
Nd  0.000  0.581  0.135
Tm  0.500  0.300  0.445
Tm  0.500  0.596  0.277
Tm  0.500  0.200  0.945
Nd  0.000  0.942  0.922
Tm  0.500  0.096  0.223
Nd  0.500  0.324  0.128
Tm  0.500  0.404  0.723
Tm  0.500  0.500  0.000
Nd  0.500  0.176  0.628
Pm  0.000  0.665  0.714
Nd  0.000  0.081  0.365
Nd  0.000  0.419  0.865
Pm  0.000  0.835  0.214
Nd  0.500  0.824  0.372
Tm  0.500  0.000  0.500
Nd  0.000  0.058  0.078
Pm  0.000  0.165  0.786
Nd  0.000  0.558  0.422
Pm  0.000  0.335  0.286
Tm  0.500  0.700  0.555
Tm  0.500  0.800  0.055
Nd  0.500  0.676  0.872

Output
**Space-group type**: Pbam, No. 55
**Calculated total energy**: -118.3 eV/cell
**Magnetization**: 0.0 μB per formula unit
**Formation energy**: 103 meV per atom
**N(E_F)**: 1.1871 states/eV per atom


Density functional theory data (PBE-GGA) for a relaxed CaPuInPt crystal.

abc: 5.161 5.161 5.161
angles: 60.00 60.00 60.00
Last column: magnetic moment on the atom in μB.
Fractional positions:
Ca  0.500  0.500  0.500  0.01
Pu  0.000  0.000  0.000  5.27
Pt  0.250  0.250  0.250  -0.07
In  0.750  0.750  0.750  0.01

Output
**Space-group type**: F-43m, No. 216
**Calculated total energy**: -26.8 eV/cell
**Magnetization**: 5.5 μB per formula unit
**Formation energy**: -433 meV per atom
**N(E_F)**: 2.4939 states/eV per atom